1.
VASP calculation (PBE) on a relaxed structure of Ba4Hg3Ge.

abc: 5.878 5.878 9.375
angles: 108.27 108.27 90.00
Sites, in units of the cell vectors:
Ge1 0.500 0.000 0.000
Ba1 0.379 0.379 0.757
Ba2 0.621 0.621 0.243
Ba3 0.121 0.121 0.243
Ba4 0.879 0.879 0.757
Hg1 0.000 0.500 0.000
Hg2 0.750 0.250 0.500
Hg3 0.250 0.750 0.500

Output
- Total energy: -2.1653 eV per atom
- N(E_F): 5.13 states/eV per cell

2.
VASP calculation (PBE) on a relaxed structure of Ba3HgGe4.

abc: 5.117 6.194 9.556
angles: 108.91 105.53 90.00
Sites, in units of the cell vectors:
Ba1 0.192 0.192 0.384
Ba2 0.808 0.808 0.616
Ba3 0.000 0.500 0.000
Hg1 0.500 0.000 0.000
Ge1 0.381 0.578 0.762
Ge2 0.619 0.422 0.238
Ge3 0.619 0.815 0.238
Ge4 0.381 0.185 0.762

Output
- Total energy: -3.4240 eV per atom
- N(E_F): 7.00 states/eV per cell

3.
VASP calculation (PBE) on a relaxed structure of Ba4HgGe3.

abc: 5.007 4.515 12.606
angles: 90.00 90.00 90.00
Sites, in units of the cell vectors:
Ba1 0.500 0.500 0.372
Ba2 0.000 0.500 0.854
Ba3 0.000 0.000 0.137
Ba4 0.500 0.000 0.637
Hg1 0.500 0.500 0.070
Ge1 0.000 0.500 0.564
Ge2 0.000 0.000 0.441
Ge3 0.500 0.000 0.925

Output
- Total energy: -3.2618 eV per atom
- N(E_F): 2.29 states/eV per cell

4.
VASP calculation (PBE) on a relaxed structure of Ba2HgGe2.

abc: 8.703 8.703 4.525
angles: 90.00 90.00 90.00
Sites, in units of the cell vectors:
Ge1 0.403 0.903 0.000
Ge2 0.903 0.597 0.000
Ge3 0.597 0.097 0.000
Ge4 0.097 0.403 0.000
Hg1 0.000 0.000 0.000
Hg2 0.500 0.500 0.000
Ba1 0.194 0.694 0.500
Ba2 0.694 0.806 0.500
Ba3 0.806 0.306 0.500
Ba4 0.306 0.194 0.500

Output
- Total energy: -3.1333 eV per atom
- N(E_F): 8.46 states/eV per cell

5.
VASP calculation (PBE) on a relaxed structure of BaHgGe3.

abc: 5.948 5.948 5.948
angles: 90.00 90.00 90.00
Sites, in units of the cell vectors:
Ge1 0.000 0.500 0.000
Ge2 0.000 0.000 0.500
Ge3 0.500 0.000 0.000
Hg1 0.500 0.500 0.500
Ba1 0.000 0.000 0.000

Output
- Total energy: -2.0067 eV per atom
- N(E_F): 4.95 states/eV per cell

6.
VASP calculation (PBE) on a relaxed structure of BaHg3Ge3.

abc: 7.518 7.518 7.518
angles: 90.00 90.00 90.00
Sites, in units of the cell vectors:
Ge1 0.000 0.250 0.500
Ge2 0.000 0.750 0.500
Ge3 0.500 0.000 0.750
Ge4 0.750 0.500 0.000
Ge5 0.500 0.000 0.250
Ge6 0.250 0.500 0.000
Hg1 0.250 0.000 0.500
Hg2 0.000 0.500 0.250
Hg3 0.500 0.750 0.000
Hg4 0.750 0.000 0.500
Hg5 0.000 0.500 0.750
Hg6 0.500 0.250 0.000
Ba1 0.500 0.500 0.500
Ba2 0.000 0.000 0.000

Output
- Total energy: -2.3702 eV per atom
- N(E_F): 10.10 states/eV per cell